1.
Compound: ScPtAu2
Source: Alexandria
Functional: PBE
Structure: optimized geometry

Properties
For the density of states at the Fermi level, the calculation gives 3.6 states/eV/cell. Its space-group type is No. 139. The total energy comes out at -43.82 eV per cell.

The structure in CIF format:
```
data_ScPtAu2
_chemical_formula_sum 'Sc2 Pt2 Au4'
_cell_length_a 4.0093
_cell_length_b 4.0093
_cell_length_c 8.7153
_cell_angle_alpha 90.00
_cell_angle_beta 90.00
_cell_angle_gamma 90.00
_space_group_name_H-M_alt 'P 1'
_space_group_IT_number 1
loop_
_space_group_symop_operation_xyz
'x,y,z'
loop_
_atom_site_label
_atom_site_fract_x
_atom_site_fract_y
_atom_site_fract_z
Sc1 0.0000 0.0000 0.0000
Sc2 0.5000 0.5000 0.5000
Pt1 0.0000 0.0000 0.5000
Pt2 0.5000 0.5000 0.0000
Au1 0.0000 0.5000 0.2500
Au2 0.0000 0.5000 0.7500
Au3 0.5000 0.0000 0.2500
Au4 0.5000 0.0000 0.7500
```

2.
Compound: Cs4YF7
Source: Alexandria
Functional: PBE
Structure: optimized geometry

Properties
For the density of states at the Fermi level, the calculation gives 0.0 states/eV/cell. Its space-group type is No. 12. The value obtained for the formation energy from raw total energies is -3163 meV per atom.

The structure in CIF format:
```
data_Cs4YF7
_chemical_formula_sum 'Cs4 Y1 F7'
_cell_length_a 7.7861
_cell_length_b 7.7861
_cell_length_c 11.6191
_cell_angle_alpha 122.35
_cell_angle_beta 122.35
_cell_angle_gamma 33.76
_space_group_name_H-M_alt 'P 1'
_space_group_IT_number 1
loop_
_space_group_symop_operation_xyz
'x,y,z'
loop_
_atom_site_label
_atom_site_fract_x
_atom_site_fract_y
_atom_site_fract_z
Cs1 0.0796 0.0796 0.2301
Cs2 0.2172 0.2172 0.8372
Cs3 0.7828 0.7828 0.1628
Cs4 0.9204 0.9204 0.7699
Y1 0.5000 0.5000 0.5000
F1 0.0000 0.0000 0.5000
F2 0.1364 0.1364 0.0213
F3 0.3238 0.3238 0.3788
F4 0.4886 0.4886 0.3038
F5 0.5114 0.5114 0.6962
F6 0.6762 0.6762 0.6212
F7 0.8636 0.8636 0.9787
```

> What is the formula in the second record?

Cs4YF7